(1)
VASP calculation (PBE-GGA) on a relaxed K3In9Pb2 crystal.

a b c (Å): 9.7743 9.7743 9.7743
angles (deg): 149.70 107.68 80.38
Last column: nearest neighbours and their distance in Å.
Atoms (fractional coordinates):
K: 0.0000 0.0000 0.0000  12 In 3.78-3.90
K: 0.3027 0.3027 0.0000  12 In 3.66-3.90, 2 Pb 3.68
K: 0.6973 0.6973 0.0000  12 In 3.66-3.90, 2 Pb 3.68
In: 0.0300 0.6582 0.3718  4 In 2.96-3.06, 1 Pb 3.15
In: 0.1226 0.8480 0.2746  3 In 3.05-3.06
In: 0.2863 0.6582 0.6282  4 In 2.96-3.06, 1 Pb 3.15
In: 0.4267 0.1520 0.2746  3 In 3.05-3.06
In: 0.5000 0.0000 0.5000  4 Pb 3.37, 4 In 3.45
In: 0.5733 0.8480 0.7254  3 In 3.05-3.06
In: 0.7137 0.3418 0.3718  4 In 2.96-3.06, 1 Pb 3.15
In: 0.8774 0.1520 0.7254  3 In 3.05-3.06
In: 0.9700 0.3418 0.6282  4 In 2.96-3.06, 1 Pb 3.15
Pb: 0.3092 0.5000 0.8092  8 In 3.15-3.44
Pb: 0.6908 0.5000 0.1908  8 In 3.15-3.44

Properties
uncorrected energy	-2.632	eV per atom
volume	440.0	Å³ per cell
magnetic moment	0.00	μB/f.u.
D(E_F)	6.6	states/eV per cell
DFT formation energy	-0.11	eV/atom

---

(2)
VASP calculation (PBE-GGA) on a relaxed HfCo2RuC crystal.

a b c (Å): 3.8584 3.8584 4.0579
angles (deg): 90.00 90.00 90.00
Last column: nearest neighbours and their distance in Å.
Atoms (fractional coordinates):
Hf: 0.0000 0.0000 0.0000  4 Ru 2.73, 8 Co 2.80
Co: 0.0000 0.5000 0.5000  2 C 1.93
Co: 0.5000 0.0000 0.5000  2 C 1.93
Ru: 0.5000 0.5000 0.0000  2 C 2.03
C: 0.5000 0.5000 0.5000  4 Co 1.93, 2 Ru 2.03

Properties
uncorrected energy	-8.823	eV per atom
volume	60.4	Å³ per cell
magnetic moment	0.00	μB/f.u.
D(E_F)	1.8	states/eV per cell
DFT formation energy	-0.29	eV/atom

---

(3)
VASP calculation (PBE-GGA) on a relaxed ZrBe crystal.

a b c (Å): 2.8965 2.8965 7.5051
angles (deg): 90.00 90.00 90.00
Last column: nearest neighbours and their distance in Å.
Atoms (fractional coordinates):
Zr: 0.2500 0.2500 0.1735  5 Be 2.83-2.95, 4 Zr 2.90
Zr: 0.7500 0.7500 0.8265  5 Be 2.83-2.95, 4 Zr 2.90
Be: 0.2500 0.2500 0.5665  4 Be 2.28
Be: 0.7500 0.7500 0.4335  4 Be 2.28

Properties
uncorrected energy	-6.071	eV per atom
volume	63.0	Å³ per cell
magnetic moment	0.00	μB/f.u.
D(E_F)	2.2	states/eV per cell
DFT formation energy	0.07	eV/atom

---

(4)
VASP calculation (PBE-GGA) on a relaxed Al2CuNi3 crystal.

a b c (Å): 3.4617 11.4268 3.5919
angles (deg): 90.00 90.00 90.00
Last column: nearest neighbours and their distance in Å.
Atoms (fractional coordinates):
Al: 0.0000 0.1595 0.0000  8 Ni 2.50-2.68, 2 Cu 2.56, 2 Al 2.70
Al: 0.0000 0.8405 0.0000  8 Ni 2.50-2.68, 2 Cu 2.56, 2 Al 2.70
Al: 0.5000 0.3405 0.0000  8 Ni 2.50-2.68, 2 Cu 2.56, 2 Al 2.70
Al: 0.5000 0.6595 0.0000  8 Ni 2.50-2.68, 2 Cu 2.56, 2 Al 2.70
Cu: 0.0000 0.0000 0.5000  8 Ni 2.49-2.57, 4 Al 2.56
Cu: 0.5000 0.5000 0.5000  8 Ni 2.49-2.57, 4 Al 2.56
Ni: 0.0000 0.3338 0.5000  6 Al 2.50-2.68, 2 Cu 2.57, 4 Ni 2.58-2.61
Ni: 0.0000 0.5000 0.0000  4 Cu 2.49, 4 Al 2.51, 4 Ni 2.61
Ni: 0.0000 0.6662 0.5000  6 Al 2.50-2.68, 2 Cu 2.57, 4 Ni 2.58-2.61
Ni: 0.5000 0.0000 0.0000  4 Cu 2.49, 4 Al 2.51, 4 Ni 2.61
Ni: 0.5000 0.1662 0.5000  6 Al 2.50-2.68, 2 Cu 2.57, 4 Ni 2.58-2.61
Ni: 0.5000 0.8338 0.5000  6 Al 2.50-2.68, 2 Cu 2.57, 4 Ni 2.58-2.61

Properties
uncorrected energy	-5.253	eV per atom
volume	142.1	Å³ per cell
magnetic moment	0.00	μB/f.u.
D(E_F)	4.7	states/eV per cell
DFT formation energy	-0.43	eV/atom
offset from the most stable computed form	0.12	eV/f.u.